Computed, not measured: a relaxed SrLi2ZnIn crystal at the PBE level of DFT.

a = 5.0680 Å, b = 5.0680 Å, c = 5.2160 Å
α = 90.00°, β = 90.00°, γ = 90.00°
Element x y z (fractional)
1 In 0.0000 0.0000 0.5000
2 Li 0.5000 0.0000 0.0000
3 Li 0.0000 0.5000 0.0000
4 Sr 0.5000 0.5000 0.5000
5 Zn 0.0000 0.0000 0.0000

Results
As for the space-group type: P4/mmm, No. 123. For the energy, the calculation gives -9.99 eV/f.u. Its theoretical density is 3.492 g/cm3. The formation energy comes out at -45 kJ/mol of formula units. For the density of states at the Fermi level, the calculation gives 2.79 states/eV/cell.